Below is a relaxed structure of ZrCoO, with properties calculated at the PBE with a Hubbard U level.

Unit cell a=3.251 b=4.317 c=5.883 alpha=90.00 beta=98.02 gamma=90.00
Sites, in units of the cell vectors:
Zr: 0.671 0.250 0.310
Zr: 0.329 0.750 0.690
Co: 0.121 0.250 0.936
Co: 0.879 0.750 0.064
O: 0.245 0.250 0.580
O: 0.755 0.750 0.420

Values from the calculation:
Calculated total energy (eV per atom): -7.50